Compound: RbCrAsO4
Source: Alexandria via LeMat-Bulk
Functional: PBE with a Hubbard U
Structure: optimized geometry

Cell and atoms, written as POSCAR:
```
RbCrAsO4
1.0
-5.501 -1.058 0.451
0.267 -3.420 -4.763
3.595 -5.294 4.002
O Rb As Cr
8 2 2 2
direct
0.951 0.023 0.677 O
0.556 0.250 0.794 O
0.951 0.477 0.677 O
0.523 0.250 0.437 O
0.049 0.523 0.323 O
0.477 0.750 0.563 O
0.444 0.750 0.206 O
0.049 0.977 0.323 O
0.707 0.750 0.937 Rb
0.293 0.250 0.063 Rb
0.253 0.750 0.350 As
0.747 0.250 0.650 As
0.224 0.250 0.544 Cr
0.776 0.750 0.456 Cr
```

- Density: 3.9 g/cm³
- Total energy: -6.2030 eV per atom
- Crystal system: monoclinic
- Space group: No. 11